# 1
First-principles (GGA-PBE) data for crystalline CaNbGeO6 at its relaxed geometry, as listed in Alexandria.

Summary:
VASP energy in eV per atom: -7.29
Formation energy without anion corrections in meV per atom: -2127

Cell: 5.2358 5.2358 9.9578 Å, 90.00 90.00 120.00°
Space group P-31c (No. 163)
Asymmetric unit:
Ca 0.0000 0.0000 0.0000 [2 per cell]
Nb 0.3333 0.6667 0.2500 [2 per cell]
Ge 0.3333 0.6667 0.7500 [2 per cell]
O 0.0144 0.3776 0.6430 [12 per cell]

---

# 2
First-principles (GGA-PBE) data for crystalline MnCdIn4S8 at its relaxed geometry, as listed in Alexandria.

Summary:
VASP energy in eV per atom: -4.43
Formation energy without anion corrections in meV per atom: -569

Cell: 7.7538 7.7538 18.7375 Å, 90.00 90.00 120.00°
Space group R3m (No. 160, hexagonal axes)
Asymmetric unit:
Mn 0.0000 0.0000 0.0000 [3 per cell]
Cd 0.0000 0.0000 0.3789 [3 per cell]
In 0.0000 0.0000 0.6166 [3 per cell]
In 0.1706 0.3412 0.8295 [9 per cell]
S 0.0000 0.0000 0.2406 [3 per cell]
S 0.0000 0.0000 0.7537 [3 per cell]
S 0.0309 0.5154 0.7481 [9 per cell]
S 0.1818 0.3636 0.5797 [9 per cell]

---

# 3
First-principles (GGA-PBE) data for crystalline HoSc2PbC at its relaxed geometry, as listed in Alexandria.

Summary:
VASP energy in eV per atom: -6.65
Formation enthalpy at 0 K in meV/atom: -619

Cell: 4.599 4.599 4.855 Å, 90.00 90.00 90.00°
Space group P4/mmm (No. 123)
Asymmetric unit:
Ho 0.000 0.000 0.000 [1 per cell]
Sc 0.000 0.500 0.500 [2 per cell]
Pb 0.500 0.500 0.000 [1 per cell]
C 0.000 0.000 0.500 [1 per cell]

---

# 4
First-principles (GGA-PBE) data for crystalline Rb2BaMgBr6 at its relaxed geometry, as listed in Alexandria.

Summary:
VASP energy in eV per atom: -3.33
Formation energy without anion corrections in meV per atom: -1782

Cell: 7.982 8.267 13.873 Å, 90.00 124.50 90.00°
Space group P2_1/c (No. 14)
Asymmetric unit:
Rb 0.227 0.064 0.248 [4 per cell]
Ba 0.500 0.000 0.000 [2 per cell]
Mg 0.000 0.000 0.500 [2 per cell]
Br 0.128 0.226 0.948 [4 per cell]
Br 0.229 0.684 0.954 [4 per cell]
Br 0.320 0.026 0.727 [4 per cell]

---

# 5
First-principles (GGA-PBE) data for crystalline Li2Ag2Pb at its relaxed geometry, as listed in Alexandria.

Summary:
VASP energy in eV per atom: -2.83
Formation enthalpy at 0 K in meV/atom: -182

Cell: 10.152 5.213 7.667 Å, 90.00 112.03 90.00°
Space group C2/c (No. 15)
Asymmetric unit:
Li 0.197 0.169 0.151 [8 per cell]
Ag 0.109 0.341 0.456 [8 per cell]
Pb 0.000 0.163 0.750 [4 per cell]

---

# 6
First-principles (GGA-PBE) data for crystalline RbMnH2Cl8 at its relaxed geometry, as listed in Alexandria.

Summary:
VASP energy in eV per atom: -3.45

Cell: 6.233 7.829 8.471 Å, 68.47 76.50 76.21°
Space group P-1 (No. 2)
Asymmetric unit:
Rb 0.000 0.000 0.000 [1 per cell]
Mn 0.000 0.500 0.500 [1 per cell]
H 0.290 0.293 0.168 [2 per cell]
Cl 0.093 0.533 0.212 [2 per cell]
Cl 0.172 0.203 0.566 [2 per cell]
Cl 0.310 0.622 0.482 [2 per cell]
Cl 0.398 0.142 0.131 [2 per cell]

---

# 7
First-principles (GGA-PBE) data for crystalline Zn2IrOs at its relaxed geometry, as listed in Alexandria.

Summary:
VASP energy in eV per atom: -5.56
Formation enthalpy at 0 K in meV/atom: 96

Cell: 9.035 2.775 4.638 Å, 90.00 99.53 90.00°
Space group Cm (No. 8)
Asymmetric unit:
Zn 0.000 0.000 0.000 [2 per cell]
Zn 0.239 0.000 0.769 [2 per cell]
Ir 0.488 0.000 0.495 [2 per cell]
Os 0.250 0.500 0.273 [2 per cell]

---

# 8
First-principles (GGA-PBE) data for crystalline Er2Co4Sn3 at its relaxed geometry, as listed in Alexandria.

Summary:
VASP energy in eV per atom: -5.78
Formation enthalpy at 0 K in meV/atom: -276

Cell: 5.816 16.024 6.826 Å, 90.00 90.00 90.00°
Space group Cmce (No. 64)
Asymmetric unit:
Er 0.000 0.101 0.082 [8 per cell]
Co 0.000 0.163 0.489 [8 per cell]
Co 0.250 0.077 0.750 [8 per cell]
Sn 0.000 0.000 0.500 [4 per cell]
Sn 0.250 0.240 0.750 [8 per cell]

---

- What is the VASP energy in the eighth record?
  -5.78 eV per atom

---

- Among the records above, which one has the lowest VASP energy?
  CaNbGeO6

---

Copy entry 7 word for word.
First-principles (GGA-PBE) data for crystalline Zn2IrOs at its relaxed geometry, as listed in Alexandria.

Summary:
VASP energy in eV per atom: -5.56
Formation enthalpy at 0 K in meV/atom: 96

Cell: 9.035 2.775 4.638 Å, 90.00 99.53 90.00°
Space group Cm (No. 8)
Asymmetric unit:
Zn 0.000 0.000 0.000 [2 per cell]
Zn 0.239 0.000 0.769 [2 per cell]
Ir 0.488 0.000 0.495 [2 per cell]
Os 0.250 0.500 0.273 [2 per cell]